*1*
Below is a geometry-optimized La2AgS structure, with properties calculated at the GGA-PBE level.

The structure in CIF format:
```
data_La2AgS
_chemical_formula_sum 'La6 Ag3 S3'
_cell_length_a 4.1411
_cell_length_b 4.1411
_cell_length_c 22.9506
_cell_angle_alpha 90.00
_cell_angle_beta 90.00
_cell_angle_gamma 120.00
_symmetry_space_group_name_H-M 'R 3 m'
_symmetry_Int_Tables_number 160
_symmetry_space_group_name_Hall 'R 3 -2"'
loop_
_atom_site_label
_atom_site_type_symbol
_atom_site_fract_x
_atom_site_fract_y
_atom_site_fract_z
La1 La 0.0000 0.0000 0.0000
La2 La 0.0000 0.0000 0.1881
Ag1 Ag 0.0000 0.0000 0.7608
S1 S 0.0000 0.0000 0.5930
```

---

*2*
Below is a geometry-optimized La2AgS structure, with properties calculated at the GGA-PBE level.

The structure in CIF format:
```
data_La2AgS
_chemical_formula_sum 'La8 Ag4 S4'
_cell_length_a 7.789
_cell_length_b 7.789
_cell_length_c 8.087
_cell_angle_alpha 90.00
_cell_angle_beta 90.00
_cell_angle_gamma 90.00
_symmetry_space_group_name_H-M 'I -4 2 d'
_symmetry_Int_Tables_number 122
_symmetry_space_group_name_Hall 'I -4 2bw'
loop_
_atom_site_label
_atom_site_type_symbol
_atom_site_fract_x
_atom_site_fract_y
_atom_site_fract_z
La1 La 0.226 0.750 0.125
Ag1 Ag 0.000 0.000 0.500
S1 S 0.000 0.000 0.000
```

---

Q: Which of them is the least stable? A: *2*.

---

*1*
Below is a geometry-optimized LaAg2S2 structure, with properties calculated at the GGA-PBE level.

The structure in CIF format:
```
data_LaAg2S2
_chemical_formula_sum 'La2 Ag4 S4'
_cell_length_a 4.902
_cell_length_b 4.902
_cell_length_c 8.986
_cell_angle_alpha 90.00
_cell_angle_beta 90.00
_cell_angle_gamma 90.00
_symmetry_space_group_name_H-M 'I 4/m m m'
_symmetry_Int_Tables_number 139
_symmetry_space_group_name_Hall '-I 4 2'
loop_
_atom_site_label
_atom_site_type_symbol
_atom_site_fract_x
_atom_site_fract_y
_atom_site_fract_z
La1 La 0.000 0.000 0.000
Ag1 Ag 0.000 0.000 0.354
S1 S 0.000 0.500 0.250
```

---

*2*
Below is a geometry-optimized LaAg2S2 structure, with properties calculated at the GGA-PBE level.

The structure in CIF format:
```
data_LaAg2S2
_chemical_formula_sum 'La2 Ag4 S4'
_cell_length_a 7.580
_cell_length_b 7.580
_cell_length_c 3.652
_cell_angle_alpha 90.00
_cell_angle_beta 90.00
_cell_angle_gamma 90.00
_symmetry_space_group_name_H-M 'P 4/m b m'
_symmetry_Int_Tables_number 127
_symmetry_space_group_name_Hall '-P 4 2ab'
loop_
_atom_site_label
_atom_site_type_symbol
_atom_site_fract_x
_atom_site_fract_y
_atom_site_fract_z
La1 La 0.000 0.000 0.000
Ag1 Ag 0.121 0.379 0.000
S1 S 0.200 0.700 0.500
```

---

Q: Which of them is the least stable? A: *2*.

---

*1*
Below is a geometry-optimized LaAg2Sb2 structure, with properties calculated at the GGA-PBE level.

The structure in CIF format:
```
data_LaAg2Sb2
_chemical_formula_sum 'La2 Ag4 Sb4'
_cell_length_a 4.357
_cell_length_b 4.357
_cell_length_c 13.536
_cell_angle_alpha 90.00
_cell_angle_beta 90.00
_cell_angle_gamma 90.00
_symmetry_space_group_name_H-M 'I 4/m m m'
_symmetry_Int_Tables_number 139
_symmetry_space_group_name_Hall '-I 4 2'
loop_
_atom_site_label
_atom_site_type_symbol
_atom_site_fract_x
_atom_site_fract_y
_atom_site_fract_z
La1 La 0.000 0.000 0.000
Ag1 Ag 0.000 0.500 0.250
Sb1 Sb 0.000 0.000 0.387
```

---

*2*
Below is a geometry-optimized LaAg2Sb2 structure, with properties calculated at the GGA-PBE level.

The structure in CIF format:
```
data_LaAg2Sb2
_chemical_formula_sum 'La2 Ag4 Sb4'
_cell_length_a 5.010
_cell_length_b 5.010
_cell_length_c 10.422
_cell_angle_alpha 90.00
_cell_angle_beta 90.00
_cell_angle_gamma 90.00
_symmetry_space_group_name_H-M 'I 4/m m m'
_symmetry_Int_Tables_number 139
_symmetry_space_group_name_Hall '-I 4 2'
loop_
_atom_site_label
_atom_site_type_symbol
_atom_site_fract_x
_atom_site_fract_y
_atom_site_fract_z
La1 La 0.000 0.000 0.000
Ag1 Ag 0.000 0.000 0.373
Sb1 Sb 0.000 0.500 0.250
```

---

*3*
Below is a geometry-optimized LaAg2Sb2 structure, with properties calculated at the GGA-PBE level.

The structure in CIF format:
```
data_LaAg2Sb2
_chemical_formula_sum 'La4 Ag8 Sb8'
_cell_length_a 4.498
_cell_length_b 24.974
_cell_length_c 4.467
_cell_angle_alpha 90.00
_cell_angle_beta 90.00
_cell_angle_gamma 90.00
_symmetry_space_group_name_H-M 'C m c m'
_symmetry_Int_Tables_number 63
_symmetry_space_group_name_Hall '-C 2c 2'
loop_
_atom_site_label
_atom_site_type_symbol
_atom_site_fract_x
_atom_site_fract_y
_atom_site_fract_z
La1 La 0.000 0.148 0.250
Ag1 Ag 0.000 0.038 0.750
Ag2 Ag 0.000 0.463 0.750
Sb1 Sb 0.000 0.250 0.750
Sb2 Sb 0.000 0.390 0.250
```

---

Q: Which of them is the least stable? A: *2*.

---

*1*
Below is a geometry-optimized LaAg2Sb2 structure, with properties calculated at the GGA-PBE level.

The structure in CIF format:
```
data_LaAg2Sb2
_chemical_formula_sum 'La2 Ag4 Sb4'
_cell_length_a 8.551
_cell_length_b 8.551
_cell_length_c 3.451
_cell_angle_alpha 90.00
_cell_angle_beta 90.00
_cell_angle_gamma 90.00
_symmetry_space_group_name_H-M 'P 4/m b m'
_symmetry_Int_Tables_number 127
_symmetry_space_group_name_Hall '-P 4 2ab'
loop_
_atom_site_label
_atom_site_type_symbol
_atom_site_fract_x
_atom_site_fract_y
_atom_site_fract_z
La1 La 0.000 0.000 0.000
Ag1 Ag 0.140 0.360 0.500
Sb1 Sb 0.156 0.656 0.000
```

---

*2*
Below is a geometry-optimized LaAg2Sb2 structure, with properties calculated at the GGA-PBE level.

The structure in CIF format:
```
data_LaAg2Sb2
_chemical_formula_sum 'La4 Ag8 Sb8'
_cell_length_a 9.936
_cell_length_b 11.432
_cell_length_c 6.535
_cell_angle_alpha 90.00
_cell_angle_beta 130.63
_cell_angle_gamma 90.00
_symmetry_space_group_name_H-M 'C 1 2/c 1'
_symmetry_Int_Tables_number 15
loop_
_symmetry_equiv_pos_as_xyz
'x,y,z'
'-x,-y,-z'
'-x,y,-z+1/2'
'x,-y,z+1/2'
'x+1/2,y+1/2,z'
'-x+1/2,-y+1/2,-z'
'-x+1/2,y+1/2,-z+1/2'
'x+1/2,-y+1/2,z+1/2'
loop_
_atom_site_label
_atom_site_type_symbol
_atom_site_fract_x
_atom_site_fract_y
_atom_site_fract_z
La1 La 0.000 0.139 0.250
Ag1 Ag 0.153 0.348 0.763
Sb1 Sb 0.000 0.136 0.750
Sb2 Sb 0.000 0.432 0.250
```

---

Q: Which of them is the least stable? A: *1*.

---

*1*
Below is a geometry-optimized LaAg3Sb structure, with properties calculated at the GGA-PBE level.

The structure in CIF format:
```
data_LaAg3Sb
_chemical_formula_sum 'La1 Ag3 Sb1'
_cell_length_a 5.208
_cell_length_b 5.208
_cell_length_c 5.208
_cell_angle_alpha 90.00
_cell_angle_beta 90.00
_cell_angle_gamma 90.00
_symmetry_space_group_name_H-M 'P m -3 m'
_symmetry_Int_Tables_number 221
_symmetry_space_group_name_Hall '-P 4 2 3'
loop_
_atom_site_label
_atom_site_type_symbol
_atom_site_fract_x
_atom_site_fract_y
_atom_site_fract_z
La1 La 0.000 0.000 0.000
Ag1 Ag 0.000 0.500 0.500
Sb1 Sb 0.500 0.500 0.500
```

---

*2*
Below is a geometry-optimized LaAg3Sb structure, with properties calculated at the GGA-PBE level.

The structure in CIF format:
```
data_LaAg3Sb
_chemical_formula_sum 'La1 Ag3 Sb1'
_cell_length_a 5.543
_cell_length_b 5.543
_cell_length_c 5.543
_cell_angle_alpha 90.00
_cell_angle_beta 90.00
_cell_angle_gamma 90.00
_symmetry_space_group_name_H-M 'P m -3 m'
_symmetry_Int_Tables_number 221
_symmetry_space_group_name_Hall '-P 4 2 3'
loop_
_atom_site_label
_atom_site_type_symbol
_atom_site_fract_x
_atom_site_fract_y
_atom_site_fract_z
La1 La 0.000 0.000 0.000
Ag1 Ag 0.000 0.000 0.500
Sb1 Sb 0.500 0.500 0.500
```

---

Q: Which of them is the least stable? A: *2*.

---

*1*
Below is a geometry-optimized LaAgSb3 structure, with properties calculated at the GGA-PBE level.

The structure in CIF format:
```
data_LaAgSb3
_chemical_formula_sum 'La1 Ag1 Sb3'
_cell_length_a 5.370
_cell_length_b 5.370
_cell_length_c 5.370
_cell_angle_alpha 90.00
_cell_angle_beta 90.00
_cell_angle_gamma 90.00
_symmetry_space_group_name_H-M 'P m -3 m'
_symmetry_Int_Tables_number 221
_symmetry_space_group_name_Hall '-P 4 2 3'
loop_
_atom_site_label
_atom_site_type_symbol
_atom_site_fract_x
_atom_site_fract_y
_atom_site_fract_z
La1 La 0.000 0.000 0.000
Ag1 Ag 0.500 0.500 0.500
Sb1 Sb 0.000 0.500 0.500
```

---

*2*
Below is a geometry-optimized LaAgSb3 structure, with properties calculated at the GGA-PBE level.

The structure in CIF format:
```
data_LaAgSb3
_chemical_formula_sum 'La1 Ag1 Sb3'
_cell_length_a 6.038
_cell_length_b 6.038
_cell_length_c 6.038
_cell_angle_alpha 90.00
_cell_angle_beta 90.00
_cell_angle_gamma 90.00
_symmetry_space_group_name_H-M 'P m -3 m'
_symmetry_Int_Tables_number 221
_symmetry_space_group_name_Hall '-P 4 2 3'
loop_
_atom_site_label
_atom_site_type_symbol
_atom_site_fract_x
_atom_site_fract_y
_atom_site_fract_z
La1 La 0.000 0.000 0.000
Ag1 Ag 0.500 0.500 0.500
Sb1 Sb 0.000 0.000 0.500
```

---

Q: Which of them is the least stable? A: *2*.

---

*1*
Below is a geometry-optimized LaAgSb2Te structure, with properties calculated at the GGA-PBE level.

The structure in CIF format:
```
data_LaAgSb2Te
_chemical_formula_sum 'La1 Ag1 Sb2 Te1'
_cell_length_a 5.330
_cell_length_b 5.330
_cell_length_c 5.516
_cell_angle_alpha 90.00
_cell_angle_beta 90.00
_cell_angle_gamma 90.00
_symmetry_space_group_name_H-M 'P 4/m m m'
_symmetry_Int_Tables_number 123
_symmetry_space_group_name_Hall '-P 4 2'
loop_
_atom_site_label
_atom_site_type_symbol
_atom_site_fract_x
_atom_site_fract_y
_atom_site_fract_z
La1 La 0.000 0.000 0.000
Ag1 Ag 0.500 0.500 0.500
Sb1 Sb 0.000 0.500 0.500
Te1 Te 0.500 0.500 0.000
```

---

*2*
Below is a geometry-optimized LaAgSb2Te structure, with properties calculated at the GGA-PBE level.

The structure in CIF format:
```
data_LaAgSb2Te
_chemical_formula_sum 'La1 Ag1 Sb2 Te1'
_cell_length_a 6.092
_cell_length_b 6.092
_cell_length_c 6.077
_cell_angle_alpha 90.00
_cell_angle_beta 90.00
_cell_angle_gamma 90.00
_symmetry_space_group_name_H-M 'P 4/m m m'
_symmetry_Int_Tables_number 123
_symmetry_space_group_name_Hall '-P 4 2'
loop_
_atom_site_label
_atom_site_type_symbol
_atom_site_fract_x
_atom_site_fract_y
_atom_site_fract_z
La1 La 0.000 0.000 0.000
Ag1 Ag 0.500 0.500 0.500
Sb1 Sb 0.000 0.500 0.000
Te1 Te 0.000 0.000 0.500
```

---

Q: Which of them is the least stable? A: *2*.

---

*1*
Below is a geometry-optimized LaAgSbTe2 structure, with properties calculated at the GGA-PBE level.

The structure in CIF format:
```
data_LaAgSbTe2
_chemical_formula_sum 'La1 Ag1 Sb1 Te2'
_cell_length_a 5.477
_cell_length_b 5.477
_cell_length_c 5.300
_cell_angle_alpha 90.00
_cell_angle_beta 90.00
_cell_angle_gamma 90.00
_symmetry_space_group_name_H-M 'P 4/m m m'
_symmetry_Int_Tables_number 123
_symmetry_space_group_name_Hall '-P 4 2'
loop_
_atom_site_label
_atom_site_type_symbol
_atom_site_fract_x
_atom_site_fract_y
_atom_site_fract_z
La1 La 0.000 0.000 0.000
Ag1 Ag 0.500 0.500 0.500
Sb1 Sb 0.500 0.500 0.000
Te1 Te 0.000 0.500 0.500
```

---

*2*
Below is a geometry-optimized LaAgSbTe2 structure, with properties calculated at the GGA-PBE level.

The structure in CIF format:
```
data_LaAgSbTe2
_chemical_formula_sum 'La1 Ag1 Sb1 Te2'
_cell_length_a 6.119
_cell_length_b 6.119
_cell_length_c 6.166
_cell_angle_alpha 90.00
_cell_angle_beta 90.00
_cell_angle_gamma 90.00
_symmetry_space_group_name_H-M 'P 4/m m m'
_symmetry_Int_Tables_number 123
_symmetry_space_group_name_Hall '-P 4 2'
loop_
_atom_site_label
_atom_site_type_symbol
_atom_site_fract_x
_atom_site_fract_y
_atom_site_fract_z
La1 La 0.000 0.000 0.000
Ag1 Ag 0.500 0.500 0.500
Sb1 Sb 0.000 0.000 0.500
Te1 Te 0.000 0.500 0.000
```

---

Q: Which of them is the least stable? A: *2*.